# 1
Below is a geometry-optimized Sm4Ho6Er structure, with properties calculated at the PBE level.

Properties
Electronic total energy   -4.33 eV/atom
DOS at the Fermi energy   1.26 states/eV per atom
Relative energy among the computed polymorphs   136 meV per atom

```
data_Sm4Ho6Er
_chemical_formula_sum 'Sm4 Ho6 Er1'
_cell_length_a 9.6906
_cell_length_b 9.6906
_cell_length_c 9.6906
_cell_angle_alpha 140.23
_cell_angle_beta 140.23
_cell_angle_gamma 57.50
_symmetry_space_group_name_H-M 'P 1'
_symmetry_Int_Tables_number 1
_symmetry_space_group_name_Hall 'P 1'
loop_
_atom_site_label
_atom_site_fract_x
_atom_site_fract_y
_atom_site_fract_z
Sm1 0.1365 0.1365 0.6229
Sm2 0.4864 0.8635 0.0000
Sm3 0.5136 0.5136 0.3771
Sm4 0.8635 0.4864 0.0000
Ho1 0.0000 0.5000 0.5000
Ho2 0.0514 0.6945 0.0000
Ho3 0.3055 0.3055 0.3569
Ho4 0.5000 0.0000 0.5000
Ho5 0.6945 0.0514 0.0000
Ho6 0.9486 0.9486 0.6431
Er1 0.5000 0.5000 0.0000
```

=====

# 2
Below is a geometry-optimized Sm5Ho12Er structure, with properties calculated at the PBE level.

Properties
Electronic total energy   -4.52 eV/atom
DOS at the Fermi energy   1.55 states/eV per atom

```
data_Sm5Ho12Er
_chemical_formula_sum 'Sm5 Ho12 Er1'
_cell_length_a 10.3574
_cell_length_b 10.3574
_cell_length_c 5.6936
_cell_angle_alpha 90.01
_cell_angle_beta 90.01
_cell_angle_gamma 110.84
_symmetry_space_group_name_H-M 'P 1'
_symmetry_Int_Tables_number 1
_symmetry_space_group_name_Hall 'P 1'
loop_
_atom_site_label
_atom_site_fract_x
_atom_site_fract_y
_atom_site_fract_z
Sm1 0.0000 0.0000 0.0000
Sm2 0.1385 0.8615 0.5000
Sm3 0.3637 0.6363 0.0000
Sm4 0.6363 0.3637 0.0000
Sm5 0.8615 0.1385 0.5000
Ho1 0.0262 0.6672 0.0004
Ho2 0.1671 0.5243 0.4996
Ho3 0.2013 0.2013 0.5030
Ho4 0.3010 0.3010 0.0031
Ho5 0.3328 0.9738 0.9996
Ho6 0.4757 0.8329 0.5004
Ho7 0.5243 0.1671 0.4996
Ho8 0.6672 0.0262 0.0004
Ho9 0.6990 0.6990 0.9969
Ho10 0.7987 0.7987 0.4970
Ho11 0.8329 0.4757 0.5004
Ho12 0.9738 0.3328 0.9996
Er1 0.5000 0.5000 0.5000
```

=====

# 3
Below is a geometry-optimized SmHo2Er9 structure, with properties calculated at the PBE level.

Properties
Electronic total energy   -4.55 eV/atom
DOS at the Fermi energy   1.44 states/eV per atom
Relative energy among the computed polymorphs   0 meV per atom

```
data_SmHo2Er9
_chemical_formula_sum 'Sm1 Ho2 Er9'
_cell_length_a 4.9757
_cell_length_b 4.9757
_cell_length_c 14.9258
_cell_angle_alpha 90.00
_cell_angle_beta 90.00
_cell_angle_gamma 90.00
_symmetry_space_group_name_H-M 'P 1'
_symmetry_Int_Tables_number 1
_symmetry_space_group_name_Hall 'P 1'
loop_
_atom_site_label
_atom_site_fract_x
_atom_site_fract_y
_atom_site_fract_z
Sm1 0.0000 0.0000 0.0000
Ho1 0.0000 0.0000 0.3339
Ho2 0.0000 0.0000 0.6661
Er1 0.0000 0.5000 0.1681
Er2 0.0000 0.5000 0.5000
Er3 0.0000 0.5000 0.8319
Er4 0.5000 0.0000 0.1681
Er5 0.5000 0.0000 0.5000
Er6 0.5000 0.0000 0.8319
Er7 0.5000 0.5000 0.0000
Er8 0.5000 0.5000 0.3343
Er9 0.5000 0.5000 0.6657
```

=====

# 4
Below is a geometry-optimized Sm2Ho4Er5 structure, with properties calculated at the PBE level.

Properties
Electronic total energy   -4.58 eV/atom
DOS at the Fermi energy   1.32 states/eV per atom
Relative energy among the computed polymorphs   0 meV per atom

```
data_Sm2Ho4Er5
_chemical_formula_sum 'Sm2 Ho4 Er5'
_cell_length_a 3.5310
_cell_length_b 8.6563
_cell_length_c 11.7168
_cell_angle_alpha 75.84
_cell_angle_beta 81.38
_cell_angle_gamma 89.97
_symmetry_space_group_name_H-M 'P 1'
_symmetry_Int_Tables_number 1
_symmetry_space_group_name_Hall 'P 1'
loop_
_atom_site_label
_atom_site_fract_x
_atom_site_fract_y
_atom_site_fract_z
Sm1 0.0919 0.2283 0.3175
Sm2 0.9081 0.7717 0.6825
Ho1 0.1819 0.9538 0.1357
Ho2 0.4536 0.1382 0.5925
Ho3 0.5464 0.8618 0.4075
Ho4 0.8181 0.0462 0.8643
Er1 0.0000 0.5000 0.5000
Er2 0.2718 0.6816 0.9558
Er3 0.3633 0.4082 0.7734
Er4 0.6367 0.5918 0.2266
Er5 0.7282 0.3184 0.0442
```

=====

DFT formation energy per entry: 300, 91, 24, 20 meV per atom